No. 1
Compound: La6Tb2Tm
Source: the Alexandria database
Functional: GGA-PBE
Structure: optimized geometry

Values from the calculation:
E above lowest polymorph = 61 meV/atom
Energy relative to the elements = 0.12 eV/atom

Unit cell a=3.6970 b=10.1356 c=10.1357 alpha=55.94 beta=90.00 gamma=90.00
Element x y z (fractional)
Tb  0.5000  0.8293  0.8293
La  0.0000  0.1628  0.5058
La  0.5000  0.3197  0.6803
La  0.0000  0.5058  0.1628
Tm  0.0000  0.0000  0.0000
La  0.5000  0.6803  0.3197
Tb  0.5000  0.1707  0.1707
La  0.0000  0.8372  0.4942
La  0.0000  0.4942  0.8372

***

No. 2
Compound: La7Tb3Tm2
Source: the Alexandria database
Functional: GGA-PBE
Structure: optimized geometry

Values from the calculation:
Energy relative to the elements = 0.07 eV/atom

Unit cell a=3.5734 b=6.5268 c=18.3517 alpha=74.95 beta=90.00 gamma=90.00
Element x y z (fractional)
Tb  0.0000  0.8803  0.6628
La  0.5000  0.9484  0.8272
Tb  0.5000  0.5000  0.0000
La  0.5000  0.7710  0.4908
La  0.0000  0.4438  0.8310
Tb  0.0000  0.1197  0.3372
La  0.0000  0.0000  0.0000
Tm  0.5000  0.6115  0.3306
Tm  0.5000  0.3885  0.6694
La  0.0000  0.5562  0.1690
La  0.5000  0.0516  0.1728
La  0.5000  0.2290  0.5092

***

No. 3
Compound: La5TbTm
Source: the Alexandria database
Functional: GGA-PBE
Structure: optimized geometry

Values from the calculation:
Energy relative to the elements = 0.17 eV/atom

Unit cell a=6.2625 b=9.3974 c=9.2093 alpha=86.25 beta=78.69 gamma=70.54
Element x y z (fractional)
Tm  0.5105  0.9791  0.7500
La  0.6118  0.3707  0.1475
La  0.2417  0.3009  0.9666
La  0.4574  0.3009  0.5334
Tb  0.0000  0.0000  0.5000
La  0.9825  0.6293  0.6475
Tb  0.0000  0.0000  0.0000
La  0.7583  0.6991  0.0334
La  0.5426  0.6991  0.4666
Tm  0.4895  0.0209  0.2500
La  0.0175  0.3707  0.3525
La  0.8620  0.2761  0.7500
La  0.1380  0.7239  0.2500
La  0.3882  0.6293  0.8525

***

No. 4
Compound: La2Tb2Tm7
Source: the Alexandria database
Functional: GGA-PBE
Structure: optimized geometry

Values from the calculation:
E above lowest polymorph = 0 meV/atom
Energy relative to the elements = 0.15 eV/atom

Unit cell a=8.0436 b=10.3647 c=8.0436 alpha=126.14 beta=88.56 gamma=53.86
Element x y z (fractional)
Tb  0.2907  0.0000  0.2907
Tm  0.3450  0.9266  0.6550
Tm  0.2456  0.3199  0.2320
Tm  0.2320  0.6801  0.2456
Tm  0.6550  0.0734  0.3450
La  0.2104  0.6893  0.7896
Tm  0.0000  0.5000  0.0000
Tm  0.7544  0.6801  0.7680
Tb  0.7093  0.0000  0.7093
Tm  0.7680  0.3199  0.7544
La  0.7896  0.3107  0.2104

***

No. 5
Compound: LaTb6Tm6
Source: the Alexandria database
Functional: GGA-PBE
Structure: optimized geometry

Values from the calculation:
Energy relative to the elements = 0.21 eV/atom

Unit cell a=6.5890 b=6.5889 c=10.9797 alpha=90.00 beta=90.00 gamma=115.50
Element x y z (fractional)
Tm  0.0000  0.5000  0.7721
Tm  0.0000  0.5000  0.2279
Tb  0.0000  0.0000  0.3372
Tm  0.5000  0.5000  0.6997
Tm  0.5000  0.0000  0.7721
Tb  0.6431  0.3569  0.0000
Tb  0.2647  0.7353  0.5000
Tm  0.5000  0.0000  0.2279
Tb  0.0000  0.0000  0.6628
Tb  0.3569  0.6431  0.0000
La  0.0000  0.0000  0.0000
Tm  0.5000  0.5000  0.3003
Tb  0.7353  0.2647  0.5000

***

No. 6
Compound: La4TbTm3
Source: the Alexandria database
Functional: GGA-PBE
Structure: optimized geometry

Values from the calculation:
Energy relative to the elements = 0.03 eV/atom

Unit cell a=5.1365 b=10.2172 c=10.2732 alpha=90.00 beta=90.00 gamma=90.00
Element x y z (fractional)
Tm  0.0644  0.3841  0.5000
Tm  0.5644  0.3847  0.7503
La  0.5644  0.8723  0.7498
Tm  0.5644  0.6159  0.0000
La  0.0644  0.8706  0.0000
Tm  0.0644  0.6153  0.2503
La  0.5644  0.1294  0.5000
Tm  0.5644  0.3847  0.2497
Tb  0.0644  0.3849  0.0000
Tm  0.0644  0.6153  0.7497
Tb  0.5644  0.6151  0.5000
La  0.5644  0.1282  0.0000
La  0.0644  0.8718  0.5000
La  0.0644  0.1277  0.7502
La  0.5644  0.8723  0.2502
La  0.0644  0.1277  0.2498

***

No. 7
Compound: LaTb4Tm3
Source: the Alexandria database
Functional: GGA-PBE
Structure: optimized geometry

Values from the calculation:
E above lowest polymorph = 0 meV/atom
Energy relative to the elements = 0.02 eV/atom

Unit cell a=6.2743 b=7.2768 c=11.3178 alpha=90.00 beta=90.00 gamma=90.00
Element x y z (fractional)
Tm  0.4812  0.3752  0.7509
Tb  0.1496  0.8762  0.5000
Tb  0.6496  0.1238  0.0000
Tb  0.9824  0.1252  0.2535
Tb  0.4824  0.8748  0.2465
Tb  0.1457  0.8735  0.0000
Tm  0.1483  0.3738  0.5000
Tm  0.4812  0.3752  0.2491
Tb  0.6457  0.1265  0.5000
Tm  0.6483  0.6262  0.0000
Tb  0.9824  0.1252  0.7465
Tm  0.9812  0.6248  0.2509
Tb  0.4824  0.8748  0.7535
Tm  0.9812  0.6248  0.7491
La  0.1445  0.3743  0.0000
La  0.6445  0.6257  0.5000

***

No. 8
Compound: LaTb3Tm6
Source: the Alexandria database
Functional: GGA-PBE
Structure: optimized geometry

Values from the calculation:
E above lowest polymorph = 0 meV/atom
Energy relative to the elements = 0.14 eV/atom

Unit cell a=8.8780 b=8.9770 c=8.9770 alpha=116.83 beta=90.00 gamma=90.00
Element x y z (fractional)
Tm  0.1041  0.8165  0.6984
La  0.5059  0.7743  0.2257
Tb  0.9185  0.4542  0.5458
Tm  0.7758  0.8272  0.5284
Tm  0.7883  0.0527  0.9473
Tm  0.6411  0.2910  0.7090
Tm  0.7758  0.4716  0.1728
Tm  0.1041  0.3016  0.1835
Tm  0.6041  0.6984  0.8165
Tb  0.4359  0.9706  0.6871
Tm  0.2883  0.9473  0.0527
Tm  0.6041  0.1835  0.3016
La  0.0059  0.2257  0.7743
Tb  0.4359  0.3129  0.0294
Tb  0.4185  0.5458  0.4542
Tb  0.9359  0.0294  0.3129
Tm  0.2758  0.1728  0.4716
Tb  0.9359  0.6871  0.9706
Tm  0.2758  0.5284  0.8272
Tm  0.1411  0.7090  0.2910

***

No. 9
Compound: LaTb6Tm2
Source: the Alexandria database
Functional: GGA-PBE
Structure: optimized geometry

Values from the calculation:
E above lowest polymorph = 0 meV/atom
Energy relative to the elements = 0.02 eV/atom

Unit cell a=3.5749 b=8.7235 c=12.8104 alpha=132.60 beta=81.98 gamma=90.03
Element x y z (fractional)
Tb  0.6681  0.6623  0.6634
Tb  0.3319  0.3377  0.3366
Tm  0.4440  0.7749  0.1119
Tb  0.8891  0.5580  0.2220
Tb  0.1109  0.4420  0.7780
Tb  0.2212  0.8926  0.5570
Tb  0.7788  0.1074  0.4430
La  0.0000  0.0000  0.0000
Tm  0.5560  0.2251  0.8881

***

No. 10
Compound: La3Tb2Tm4
Source: the Alexandria database
Functional: GGA-PBE
Structure: optimized geometry

Values from the calculation:
E above lowest polymorph = 0 meV/atom
Energy relative to the elements = 0.03 eV/atom

Unit cell a=3.5944 b=8.0184 c=10.7440 alpha=76.97 beta=90.00 gamma=102.95
Element x y z (fractional)
La  0.0000  0.0000  0.0000
Tm  0.9992  0.9984  0.6702
La  0.3345  0.6690  0.5555
Tm  0.0008  0.0016  0.3298
Tb  0.3328  0.6655  0.2203
Tb  0.6672  0.3345  0.7797
Tm  0.6668  0.3336  0.1100
Tm  0.3332  0.6664  0.8900
La  0.6655  0.3310  0.4445

***

No. 11
Compound: LaTb6Tm4
Source: the Alexandria database
Functional: GGA-PBE
Structure: optimized geometry

Values from the calculation:
E above lowest polymorph = 291 meV/atom
Energy relative to the elements = 0.41 eV/atom

Unit cell a=7.5828 b=7.5828 c=8.5024 alpha=116.48 beta=116.48 gamma=90.00
Element x y z (fractional)
Tm  0.9194  0.9194  0.1576
Tb  0.5000  0.0000  0.0000
Tb  0.5541  0.5541  0.6246
Tm  0.0806  0.7618  0.8424
La  0.5000  0.5000  0.0000
Tb  0.4459  0.9296  0.3754
Tb  0.9296  0.4459  0.3754
Tb  0.0000  0.5000  0.0000
Tb  0.0704  0.0704  0.6246
Tm  0.2382  0.2382  0.1576
Tm  0.7618  0.0806  0.8424

***

No. 12
Compound: LaTb7Tm12
Source: the Alexandria database
Functional: GGA-PBE
Structure: optimized geometry

Values from the calculation:
E above lowest polymorph = 0 meV/atom
Energy relative to the elements = 0.24 eV/atom

Unit cell a=8.6407 b=8.6407 c=8.6407 alpha=88.11 beta=88.11 gamma=88.11
Element x y z (fractional)
Tm  0.7711  0.3606  0.2387
Tb  0.5000  0.5000  0.5000
Tb  0.8771  0.0000  0.3654
Tm  0.6535  0.5587  0.8881
Tm  0.2387  0.7711  0.3606
Tb  0.0000  0.3654  0.8771
Tb  0.0000  0.6346  0.1229
Tm  0.1119  0.3465  0.4413
La  0.0000  0.0000  0.0000
Tm  0.3606  0.2387  0.7711
Tm  0.3465  0.4413  0.1119
Tb  0.1229  0.0000  0.6346
Tm  0.5587  0.8881  0.6535
Tm  0.7613  0.2289  0.6394
Tb  0.6346  0.1229  0.0000
Tm  0.6394  0.7613  0.2289
Tm  0.4413  0.1119  0.3465
Tm  0.8881  0.6535  0.5587
Tb  0.3654  0.8771  0.0000
Tm  0.2289  0.6394  0.7613

***

Look up the energy relative to the elements of the fourth one.
0.15 eV/atom